[1]
A plane-wave DFT calculation with PBE was carried out for Zr2NbTe2Cl4 after structural relaxation.

Calculated values
- M_tot: 0.00 μB/atom
- Theoretical density: 4.6 g/cm³
- Formation energy from raw total energies: -1.222 eV per atom
- N(E_F): 0.52 states/eV/atom

a = 3.495 Å, b = 3.495 Å, c = 23.131 Å
α = 90.00°, β = 90.00°, γ = 120.00°
Positions (direct):
Zr1 0.000 0.000 0.000
Zr2 0.333 0.667 0.311
Nb1 0.333 0.667 0.663
Te1 0.000 0.000 0.579
Te2 0.000 0.000 0.747
Cl1 0.000 0.000 0.237
Cl2 0.000 0.000 0.384
Cl3 0.333 0.667 0.073
Cl4 0.333 0.667 0.927

---

[2]
A plane-wave DFT calculation with PBE was carried out for TiNb3Cl9 after structural relaxation.

Calculated values
- M_tot: 0.15 μB/atom
- Theoretical density: 2.8 g/cm³
- Formation energy from raw total energies: -1.105 eV per atom
- N(E_F): 0.27 states/eV/atom

a = 9.451 Å, b = 9.451 Å, c = 13.573 Å
α = 115.02°, β = 115.02°, γ = 45.61°
Positions (direct):
Ti1 0.165 0.835 0.500
Ti2 0.835 0.165 0.000
Nb1 0.087 0.349 0.868
Nb2 0.231 0.351 0.739
Nb3 0.349 0.087 0.368
Nb4 0.351 0.231 0.239
Nb5 0.679 0.950 0.333
Nb6 0.950 0.679 0.833
Cl1 0.103 0.168 0.180
Cl2 0.109 0.610 0.331
Cl3 0.158 0.983 0.395
Cl4 0.168 0.103 0.680
Cl5 0.234 0.637 0.818
Cl6 0.244 0.374 0.057
Cl7 0.374 0.244 0.557
Cl8 0.449 0.582 0.579
Cl9 0.582 0.449 0.079
Cl10 0.586 0.894 0.128
Cl11 0.610 0.109 0.831
Cl12 0.625 0.725 0.332
Cl13 0.637 0.234 0.318
Cl14 0.725 0.625 0.832
Cl15 0.852 0.987 0.534
Cl16 0.894 0.586 0.628
Cl17 0.983 0.158 0.895
Cl18 0.987 0.852 0.034

---

[3]
A plane-wave DFT calculation with PBE was carried out for TiNb2Cl6 after structural relaxation.

Calculated values
- M_tot: 0.00 μB/atom
- Theoretical density: 4.0 g/cm³
- Formation energy from raw total energies: -0.975 eV per atom
- N(E_F): 0.54 states/eV/atom

a = 8.607 Å, b = 8.607 Å, c = 5.495 Å
α = 107.39°, β = 107.39°, γ = 79.98°
Positions (direct):
Ti1 0.075 0.925 0.750
Ti2 0.925 0.075 0.250
Nb1 0.184 0.310 0.496
Nb2 0.310 0.184 0.996
Nb3 0.690 0.816 0.004
Nb4 0.816 0.690 0.504
Cl1 0.014 0.220 0.729
Cl2 0.112 0.621 0.765
Cl3 0.220 0.014 0.229
Cl4 0.286 0.464 0.273
Cl5 0.379 0.888 0.735
Cl6 0.464 0.286 0.773
Cl7 0.536 0.714 0.227
Cl8 0.621 0.112 0.265
Cl9 0.714 0.536 0.727
Cl10 0.780 0.986 0.771
Cl11 0.888 0.379 0.235
Cl12 0.986 0.780 0.271

---

[4]
A plane-wave DFT calculation with PBE was carried out for TiNb2Cl8 after structural relaxation.

Calculated values
- M_tot: 0.36 μB/atom
- Theoretical density: 2.7 g/cm³
- Formation energy from raw total energies: -1.023 eV per atom
- N(E_F): 0.56 states/eV/atom

a = 7.392 Å, b = 7.392 Å, c = 7.341 Å
α = 99.87°, β = 99.87°, γ = 55.32°
Positions (direct):
Ti1 0.000 0.000 0.000
Nb1 0.227 0.227 0.163
Nb2 0.773 0.773 0.837
Cl1 0.079 0.079 0.325
Cl2 0.120 0.619 0.053
Cl3 0.337 0.337 0.456
Cl4 0.381 0.880 0.947
Cl5 0.619 0.120 0.053
Cl6 0.663 0.663 0.544
Cl7 0.880 0.381 0.947
Cl8 0.921 0.921 0.675

---

[5]
A plane-wave DFT calculation with PBE was carried out for TiNb4Cl2 after structural relaxation.

Calculated values
- M_tot: 0.00 μB/atom
- Theoretical density: 5.7 g/cm³
- Formation energy from raw total energies: 1.030 eV per atom
- N(E_F): 1.24 states/eV/atom

a = 7.211 Å, b = 7.211 Å, c = 7.211 Å
α = 141.52°, β = 141.52°, γ = 55.55°
Positions (direct):
Ti1 0.000 0.000 0.000
Nb1 0.000 0.500 0.500
Nb2 0.204 0.204 0.000
Nb3 0.500 0.000 0.500
Nb4 0.796 0.796 0.000
Cl1 0.394 0.394 0.000
Cl2 0.606 0.606 0.000

---

[6]
A plane-wave DFT calculation with PBE was carried out for TiNbCl2 after structural relaxation.

Calculated values
- M_tot: 0.00 μB/atom
- Theoretical density: 4.4 g/cm³
- Formation energy from raw total energies: 0.173 eV per atom
- N(E_F): 1.46 states/eV/atom

a = 6.224 Å, b = 6.224 Å, c = 6.224 Å
α = 123.53°, β = 123.53°, γ = 83.99°
Positions (direct):
Ti1 0.000 0.000 0.000
Ti2 0.750 0.250 0.500
Nb1 0.250 0.750 0.500
Nb2 0.500 0.500 0.000
Cl1 0.112 0.625 0.987
Cl2 0.375 0.362 0.487
Cl3 0.638 0.125 0.013
Cl4 0.875 0.888 0.513

---

[7]
A plane-wave DFT calculation with PBE was carried out for Ti3NbCl after structural relaxation.

Calculated values
- M_tot: 0.67 μB/atom
- Theoretical density: 3.8 g/cm³
- Formation energy from raw total energies: 1.028 eV per atom
- N(E_F): 1.46 states/eV/atom

a = 4.925 Å, b = 4.925 Å, c = 4.925 Å
α = 90.00°, β = 90.00°, γ = 90.00°
Positions (direct):
Ti1 0.000 0.000 0.500
Ti2 0.000 0.500 0.000
Ti3 0.500 0.000 0.000
Nb1 0.000 0.000 0.000
Cl1 0.500 0.500 0.500

---

[8]
A plane-wave DFT calculation with PBE was carried out for Ti2NbCl after structural relaxation.

Calculated values
- M_tot: 0.00 μB/atom
- Theoretical density: 5.3 g/cm³
- Formation energy from raw total energies: 0.156 eV per atom
- N(E_F): 0.89 states/eV/atom

a = 5.843 Å, b = 5.843 Å, c = 5.843 Å
α = 100.64°, β = 100.64°, γ = 129.11°
Positions (direct):
Ti1 0.041 0.125 0.416
Ti2 0.375 0.959 0.084
Ti3 0.709 0.625 0.584
Ti4 0.875 0.291 0.916
Nb1 0.250 0.750 0.500
Nb2 0.500 0.500 0.000
Cl1 0.000 0.000 0.000
Cl2 0.750 0.250 0.500

---

> What is the formula in the second record?

TiNb3Cl9

---

> The highest formation energy from raw total energies belongs to which entry?

TiNb4Cl2